1.
Material: Mg2Al2In
Method: DFT, PBEsol
State: relaxed

```
Mg2Al2In
1.0
-0.3905 -0.4142 -3.0614
2.3590 -7.7674 0.7500
-7.7362 -2.2252 1.2880
Al In Mg
4 2 4
direct
0.0000 0.6158 0.1158
0.0000 0.1158 0.3842
0.0000 0.3842 0.8842
0.0000 0.8842 0.6158
0.0000 0.0000 0.0000
0.0000 0.5000 0.5000
0.5000 0.6809 0.8191
0.5000 0.8191 0.3191
0.5000 0.1809 0.6809
0.5000 0.3191 0.1809
```

Values from the calculation:
formation energy	0.25	eV/f.u.
SG	P4/mbm


2.
Material: Mg16Al12In
Method: DFT, PBEsol
State: relaxed

```
Mg16Al12In
1.0
-4.0731 -5.5089 -5.8808
2.5686 -4.7706 7.2181
-5.8393 6.3693 2.6060
Al Mg In
12 16 1
direct
0.0072 0.6380 0.8216
0.6329 0.8134 0.0000
0.1779 0.3676 0.3676
0.1871 0.1886 0.8187
0.3588 0.1770 0.3654
0.3588 0.3654 0.1770
0.1871 0.8187 0.1886
0.6329 0.0000 0.8134
0.8165 0.0021 0.6316
0.8165 0.6316 0.0021
0.0072 0.8216 0.6380
0.8185 0.1806 0.1806
0.9999 0.9994 0.9994
0.3454 0.9996 0.9996
0.2892 0.6864 0.6864
0.6835 0.2884 0.6808
0.6835 0.6808 0.2884
0.0014 0.3210 0.6009
0.9947 0.3477 0.9971
0.5998 0.3151 0.9969
0.3180 0.5992 0.0014
0.3180 0.0014 0.5992
0.4001 0.4010 0.7137
0.4001 0.7137 0.4010
0.9947 0.9971 0.3477
0.6637 0.6574 0.6574
0.0014 0.6009 0.3210
0.5998 0.9969 0.3151
0.7054 0.3889 0.3889
```

Values from the calculation:
energy above the most stable polymorph in this dataset	0.000	eV/atom
formation energy	-0.48	eV/f.u.
SG	Cm


3.
Material: Mg16Al12In
Method: DFT, PBEsol
State: relaxed

```
Mg16Al12In
1.0
9.0853 0.0000 0.0000
-3.0284 8.5657 0.0000
-3.0284 -4.2828 7.4181
Mg Al In
16 12 1
direct
0.2847 0.6851 0.6851
0.0000 0.5996 0.3149
0.0000 0.3149 0.5996
0.0000 0.3436 0.0000
0.6851 0.6851 0.2847
0.3436 0.0000 0.0000
0.6851 0.2847 0.6851
0.4004 0.7153 0.4004
0.3149 0.5996 0.0000
0.0000 0.0000 0.3436
0.6564 0.6564 0.6564
0.5996 0.0000 0.3149
0.7153 0.4004 0.4004
0.3149 0.0000 0.5996
0.5996 0.3149 0.0000
0.4004 0.4004 0.7153
0.8166 0.1864 0.1864
0.0000 0.6302 0.8136
0.8136 0.0000 0.6302
0.3698 0.3698 0.1834
0.6302 0.8136 0.0000
0.1864 0.1864 0.8166
0.6302 0.0000 0.8136
0.1834 0.3698 0.3698
0.1864 0.8166 0.1864
0.8136 0.6302 0.0000
0.0000 0.8136 0.6302
0.3698 0.1834 0.3698
0.0000 0.0000 0.0000
```

Values from the calculation:
energy above the most stable polymorph in this dataset	0.011	eV/atom
formation energy	-0.17	eV/f.u.
SG	I-43m


4.
Material: MgAl2In
Method: DFT, PBEsol
State: relaxed

```
MgAl2In
1.0
3.0905 0.0000 0.0000
0.0000 3.0905 0.0000
0.0000 0.0000 8.2427
In Al Mg
1 2 1
direct
0.0000 0.0000 0.4900
0.0000 0.0000 0.0141
0.5000 0.5000 0.2284
0.5000 0.5000 0.7675
```

Values from the calculation:
formation energy	0.12	eV/f.u.
SG	P4mm


What did the first record say?
Material: Mg2Al2In
Method: DFT, PBEsol
State: relaxed

```
Mg2Al2In
1.0
-0.3905 -0.4142 -3.0614
2.3590 -7.7674 0.7500
-7.7362 -2.2252 1.2880
Al In Mg
4 2 4
direct
0.0000 0.6158 0.1158
0.0000 0.1158 0.3842
0.0000 0.3842 0.8842
0.0000 0.8842 0.6158
0.0000 0.0000 0.0000
0.0000 0.5000 0.5000
0.5000 0.6809 0.8191
0.5000 0.8191 0.3191
0.5000 0.1809 0.6809
0.5000 0.3191 0.1809
```

Values from the calculation:
formation energy	0.25	eV/f.u.
SG	P4/mbm


- What is the formula in the second record?
  Mg16Al12In


- Which of these has the highest formation energy?
  Mg2Al2In


- Which of these has the highest formation energy?
  Mg2Al2In